DFT (meta-GGA SCAN) results for a PBEsol-optimized structure of Cr2MoAs.

Calculated values
ρ, g/cm3: 9.0

Lattice parameters (Å, degrees): 3.0772 3.9540 8.3693 90.00 90.00 90.00
Last column: nearest neighbours and their distance in Å.
Space group Imm2 (No. 44)
Unique sites:
Cr  0.0000  0.0000  0.0000 (multiplicity 2)  4 As 2.51, 2 Cr 2.56, 2 Mo 2.61
Cr  0.0000  0.5000  0.2555 (multiplicity 2)  4 Mo 2.51, 2 As 2.56, 2 Cr 2.56
Mo  0.0000  0.5000  0.7520 (multiplicity 2)  6 Cr 2.51-2.61, 2 As 2.66
As  0.0000  0.0000  0.5117 (multiplicity 2)  6 Cr 2.51-2.56, 2 Mo 2.66



DFT (meta-GGA SCAN) results for a PBEsol-optimized structure of LiBeSb2P.

Calculated values
Raw formation energy, eV per atom: 0.864
ρ, g/cm3: 4.8

Lattice parameters (Å, degrees): 4.9266 4.9266 4.1565 90.00 90.00 90.00
Last column: nearest neighbours and their distance in Å.
Space group P4/mmm (No. 123)
Unique sites:
Li  0.0000  0.0000  0.0000 (multiplicity 1)  2 P 2.08
Be  0.5000  0.5000  0.5000 (multiplicity 1)  8 Sb 3.22, 4 P 3.48
Sb  0.0000  0.5000  0.0000 (multiplicity 2)  2 Li 2.46
P  0.0000  0.0000  0.5000 (multiplicity 1)  2 Li 2.08



| no. | DFT total energy (Ha/atom) |
| --- | --- |
| 1 | -0.8417 |
| 2 | -0.6420 |